Entry 1:
An optimized crystal structure of Mn2InBr, computed with GGA-PBE.

Cell: 8.4017 8.4017 8.4017 Å, 23.55 23.55 23.55°
Closest atoms and distances in Å follow each position.
Fractional positions:
Mn 0.9986 0.9986 0.9986  3 Br 2.82, 3 In 2.87
Mn 0.5014 0.5014 0.5014  3 Br 2.82, 3 In 2.87
Br 0.2500 0.2500 0.2500  6 Mn 2.82
In 0.7500 0.7500 0.7500  6 Mn 2.87

Summary:
**Energy above the most stable polymorph in this dataset**: 75 meV per atom
**E**: -5.442 eV per atom
**Formation energy (no corrections)**: 0.246 eV/atom
**Space group**: R-3m (166)
**Volume**: 20.79 Å³/atom

Entry 2:
An optimized crystal structure of MnIn2Br4, computed with GGA-PBE.

Cell: 5.3383 5.3383 8.9884 Å, 72.73 72.73 90.00°
Closest atoms and distances in Å follow each position.
Fractional positions:
Br 0.1632 0.1632 0.6735  1 Mn 2.66
Br 0.5000 0.0000 0.0000  2 Mn 2.67
Br 0.0000 0.5000 0.0000  2 Mn 2.67
Br 0.8368 0.8368 0.3265  1 Mn 2.66
In 0.3592 0.3592 0.2816  5 Br 3.20-3.52
In 0.6408 0.6408 0.7184  5 Br 3.20-3.52
Mn 0.0000 0.0000 0.0000  6 Br 2.66-2.67

Summary:
**Energy above the most stable polymorph in this dataset**: 43 meV per atom
**E**: -3.716 eV per atom
**Formation energy (no corrections)**: -0.667 eV/atom
**Space group**: I4/mmm (139)
**Volume**: 33.21 Å³/atom

Entry 3:
An optimized crystal structure of Mn2In3Br7, computed with GGA-PBE.

Cell: 5.3464 5.3464 13.9473 Å, 101.05 101.05 90.00°
Closest atoms and distances in Å follow each position.
Fractional positions:
In 0.3203 0.3203 0.6406  5 Br 3.27-3.48
In 0.5000 0.5000 0.0000  12 Br 3.72-3.78
In 0.6797 0.6797 0.3594  5 Br 3.27-3.48
Br 0.0000 0.0000 0.0000  2 Mn 2.74
Br 0.9034 0.4034 0.8069  2 Mn 2.68
Br 0.0966 0.5966 0.1931  2 Mn 2.68
Br 0.8016 0.8016 0.6032  1 Mn 2.59
Br 0.4034 0.9034 0.8069  2 Mn 2.68
Br 0.5966 0.0966 0.1931  2 Mn 2.68
Br 0.1984 0.1984 0.3968  1 Mn 2.59
Mn 0.8980 0.8980 0.7960  6 Br 2.59-2.74
Mn 0.1020 0.1020 0.2040  6 Br 2.59-2.74

Summary:
**E**: -3.858 eV per atom
**Formation energy (no corrections)**: -0.670 eV/atom
**Space group**: I4/mmm (139)
**Volume**: 31.98 Å³/atom

Entry 4:
An optimized crystal structure of MnIn3Br, computed with GGA-PBE.

Cell: 5.2353 5.2353 5.2353 Å, 90.00 90.00 90.00°
Closest atoms and distances in Å follow each position.
Fractional positions:
Br 0.5000 0.5000 0.5000  12 In 3.70
In 0.5000 0.0000 0.0000  2 Mn 2.62
In 0.0000 0.5000 0.0000  2 Mn 2.62
In 0.0000 0.0000 0.5000  2 Mn 2.62
Mn 0.0000 0.0000 0.0000  6 In 2.62

Summary:
**Energy above the most stable polymorph in this dataset**: 0 meV per atom
**E**: -3.736 eV per atom
**Formation energy (no corrections)**: 0.076 eV/atom
**Space group**: Pm-3m (221)
**Volume**: 28.70 Å³/atom

Entry 5:
An optimized crystal structure of MnIn4Br, computed with GGA-PBE.

Cell: 6.1506 6.1506 6.1506 Å, 60.00 60.00 60.00°
Closest atoms and distances in Å follow each position.
Fractional positions:
In 0.3753 0.3753 0.8740  6 In 3.07-3.08
In 0.3753 0.3753 0.3753  6 In 3.07-3.08
In 0.8740 0.3753 0.3753  6 In 3.07-3.08
In 0.3753 0.8740 0.3753  6 In 3.07-3.08
Br 0.0000 0.0000 0.0000  12 In 3.61, 4 Mn 3.77
Mn 0.7500 0.7500 0.7500  12 In 3.61, 4 Br 3.77

Summary:
**E**: -3.345 eV per atom
**Formation energy (no corrections)**: 0.288 eV/atom
**Space group**: F-43m (216)
**Volume**: 27.42 Å³/atom

Entry 6:
An optimized crystal structure of Mn2InBr, computed with GGA-PBE.

Cell: 5.0749 5.0749 3.2274 Å, 90.00 90.00 105.65°
Closest atoms and distances in Å follow each position.
Fractional positions:
Br 0.5000 0.0000 0.5000  8 Mn 3.01, 2 In 3.07, 2 Br 3.23
Mn 0.0000 0.0000 0.0000  4 In 3.01, 4 Br 3.01, 4 Mn 3.07-3.23
Mn 0.5000 0.5000 0.0000  4 Br 3.01, 4 In 3.01, 4 Mn 3.07-3.23
In 0.0000 0.5000 0.5000  8 Mn 3.01, 2 Br 3.07, 2 In 3.23

Summary:
**Energy above the most stable polymorph in this dataset**: 267 meV per atom
**E**: -5.249 eV per atom
**Formation energy (no corrections)**: 0.438 eV/atom
**Space group**: Cmmm (65)
**Volume**: 20.01 Å³/atom

Entry 7:
An optimized crystal structure of Mn2InBr, computed with GGA-PBE.

Cell: 5.0494 5.0494 5.0494 Å, 60.00 60.00 60.00°
Closest atoms and distances in Å follow each position.
Fractional positions:
Br 0.5000 0.5000 0.5000  4 Mn 3.09, 4 In 3.09
In 0.7500 0.7500 0.7500  4 Mn 3.09, 4 Br 3.09
Mn 0.2500 0.2500 0.2500  4 Mn 3.09, 4 Br 3.09
Mn 0.0000 0.0000 0.0000  4 In 3.09, 4 Mn 3.09

Summary:
**Energy above the most stable polymorph in this dataset**: 606 meV per atom
**E**: -4.910 eV per atom
**Formation energy (no corrections)**: 0.778 eV/atom
**Space group**: F-43m (216)
**Volume**: 22.76 Å³/atom

Entry 8:
An optimized crystal structure of Mn2InBr, computed with GGA-PBE.

Cell: 4.7187 3.1799 5.6342 Å, 73.51 90.00 90.00°
Closest atoms and distances in Å follow each position.
Fractional positions:
Mn 0.0000 0.0542 0.0169  2 Br 2.68
Mn 0.5000 0.4210 0.2846  2 Br 2.47, 1 In 2.72
In 0.5000 0.6712 0.7817  1 Mn 2.72
Br 0.0000 0.3536 0.4169  4 Mn 2.47-2.68

Summary:
**Energy above the most stable polymorph in this dataset**: 193 meV per atom
**E**: -5.323 eV per atom
**Formation energy (no corrections)**: 0.365 eV/atom
**Space group**: Pm (6)
**Volume**: 20.27 Å³/atom

Entry 9:
An optimized crystal structure of Mn2InBr, computed with GGA-PBE.

Cell: 4.9665 4.9665 8.0775 Å, 55.25 55.25 37.45°
Closest atoms and distances in Å follow each position.
Fractional positions:
In 0.7500 0.7500 0.7500  6 Mn 2.82-2.85
Mn 0.5594 0.5594 0.5834  2 Br 2.68, 2 Mn 2.72, 3 In 2.82-2.85
Mn 0.9406 0.9406 0.9166  2 Br 2.68, 2 Mn 2.72, 3 In 2.82-2.85
Br 0.2500 0.2500 0.2500  4 Mn 2.68

Summary:
**Energy above the most stable polymorph in this dataset**: 47 meV per atom
**E**: -5.469 eV per atom
**Formation energy (no corrections)**: 0.218 eV/atom
**Space group**: C2/m (12)
**Volume**: 24.19 Å³/atom

Entry 10:
An optimized crystal structure of MnIn2Br4, computed with GGA-PBE.

Cell: 8.1744 8.1744 10.0286 Å, 104.38 104.38 113.34°
Closest atoms and distances in Å follow each position.
Fractional positions:
Br 0.2241 0.2412 0.3994  1 Mn 2.50
Br 0.7759 0.7588 0.6006  1 Mn 2.50
Br 0.1583 0.6793 0.8998  1 Mn 2.50
Br 0.7588 0.7759 0.1006  1 Mn 2.50
Br 0.2412 0.2241 0.8994  1 Mn 2.50
Br 0.3207 0.8417 0.6002  1 Mn 2.50
Br 0.6793 0.1583 0.3998  1 Mn 2.50
Br 0.8417 0.3207 0.1002  1 Mn 2.50
In 0.5694 0.4306 0.2500  6 Br 3.25-3.52
In 0.1823 0.8177 0.2500  6 Br 3.25-3.53
In 0.4306 0.5694 0.7500  6 Br 3.25-3.52
In 0.8177 0.1823 0.7500  6 Br 3.25-3.53
Mn 0.1240 0.8760 0.7500  4 Br 2.50
Mn 0.8760 0.1240 0.2500  4 Br 2.50

Summary:
**Energy above the most stable polymorph in this dataset**: 0 meV per atom
**E**: -3.759 eV per atom
**Formation energy (no corrections)**: -0.711 eV/atom
**Space group**: C2/c (15)
**Volume**: 39.20 Å³/atom